1.
The following is a PBE-GGA calculation of crystalline TaNbNi6 at its relaxed geometry, from OQMD via LeMat-Bulk.

```
8
Lattice="-1.0677 -3.1471 -2.6339 0.9201 -3.4032 3.6932 -4.3218 0.3191 1.3707" Properties=species:S:1:pos:R:3 pbc="T T T"
Ni -0.7800 -2.4449 3.2375
Ni -1.3141 -1.5159 -1.0695
Ni -3.0818 -1.4401 2.9700
Ni -1.2407 -0.7411 1.3884
Ni -2.6954 -3.9137 2.3554
Ni -3.1545 -2.2156 0.5125
Ta -0.7331 -3.2264 0.7387
Nb -3.6625 0.2704 1.1616
```

**DFT total energy**: -7.248 eV/atom
**Volume**: 98.4 Å³ per cell
**Spin magnetization**: 0.002 μB per formula unit
**SG**: No. 25



2.
The following is a PBE-GGA calculation of crystalline Cs4MgCdPb2 at its relaxed geometry, from OQMD via LeMat-Bulk.

```
8
Lattice="4.5641 -6.1092 0.0000 4.5641 6.1092 0.0000 -0.0187 0.0000 7.0367" Properties=species:S:1:pos:R:3 pbc="T T T"
Cs 3.2426 2.0778 5.2680
Cs 3.2426 -2.0778 5.2680
Cs 5.8669 2.0778 1.7687
Cs 5.8669 -2.0778 1.7687
Mg 0.0000 0.0000 0.0000
Pb 2.2771 0.0000 1.7482
Pb 6.8324 0.0000 5.2885
Cd -0.0094 0.0000 3.5183
```

**DFT total energy**: -1.817 eV/atom
**Volume**: 392.4 Å³ per cell
**SG**: No. 12



3.
The following is a PBE-GGA calculation of crystalline SmZnInSe3 at its relaxed geometry, from OQMD via LeMat-Bulk.

```
24
Lattice="-3.0770 -7.8318 1.3028 1.1106 0.2656 4.2196 -14.8664 6.4245 3.5087" Properties=species:S:1:pos:R:3 pbc="T T T"
Se -6.2323 2.0959 4.9050
Se -13.5224 -0.2980 4.7102
Se -9.5082 0.0743 5.8945
Se -4.1601 -7.1643 2.6780
Se -1.8503 -4.3786 4.1591
Se -5.8987 -4.3060 5.2201
Se -3.3104 -0.8437 4.3209
Se -12.6727 6.0226 6.3531
Se -10.9341 3.1642 3.8110
Se -7.3246 -1.2160 3.1366
Se -14.9825 3.2368 4.8720
Se -10.6005 -3.2376 4.1261
In -12.1519 1.8992 6.4755
In -4.1851 1.3256 2.1503
In -4.6809 -3.0409 2.5556
In -12.6477 -2.4673 6.8808
Zn -5.6251 -0.3018 4.8961
Zn -11.2077 -0.8399 4.1350
Zn -12.9410 4.4899 4.2558
Zn -3.8919 -5.6316 4.7753
Sm -8.6097 1.6370 3.2953
Sm -16.1981 0.3355 5.3746
Sm -8.2232 -2.7787 5.7358
Sm -0.6348 -1.4772 3.6565
```

**DFT total energy**: -4.173 eV/atom
**Volume**: 616.8 Å³ per cell
**Spin magnetization**: 0.003 μB per formula unit
**SG**: No. 62
**Excess energy over the best structure of this formula in the dataset**: 92.0 meV per atom



4.
The following is a PBE-GGA calculation of crystalline PrUAg at its relaxed geometry, from OQMD via LeMat-Bulk.

```
3
Lattice="-4.4496 -1.7175 1.6747 -4.2955 1.6442 -2.0974 -2.7567 -3.1067 -2.8813" Properties=species:S:1:pos:R:3 pbc="T T T"
U -8.6263 -2.3850 -2.4780
Pr -2.8755 -0.7950 -0.8260
Ag 0.0000 0.0000 0.0000
```

**DFT total energy**: -5.553 eV/atom
**Volume**: 91.3 Å³ per cell
**Spin magnetization**: 4.336 μB per formula unit
**SG**: No. 216
**Excess energy over the best structure of this formula in the dataset**: 0.0 meV per atom



5.
The following is a PBE-GGA calculation of crystalline HoHfNO at its relaxed geometry, from OQMD via LeMat-Bulk.

```
16
Lattice="-1.9411 -0.4693 5.8641 1.2770 -7.8885 -0.2086 4.4651 0.6823 1.5326" Properties=species:S:1:pos:R:3 pbc="T T T"
O 1.7371 -2.8135 4.3643
O 3.0453 -4.6648 1.3772
O 0.2826 -5.1342 2.2124
O -1.0256 -3.2828 5.1996
N 2.5368 -0.7217 1.1048
N -0.4748 -1.2512 2.6920
N 2.4955 -6.6963 3.8851
N -0.5161 -7.2258 5.4722
Hf -0.3427 -3.3015 3.2192
Hf 2.3630 -4.6461 3.3577
Hf 1.1120 -3.1484 6.3355
Hf 0.9083 -4.7992 0.2414
Ho 0.2513 -1.0697 0.4961
Ho 1.8090 -0.8917 3.3010
Ho 1.7695 -6.8778 6.0810
Ho 0.2118 -7.0558 3.2760
```

**DFT total energy**: -8.934 eV/atom
**Volume**: 236.2 Å³ per cell
**Spin magnetization**: 0.004 μB per formula unit
**SG**: No. 57
**Excess energy over the best structure of this formula in the dataset**: 113.9 meV per atom



6.
The following is a PBE-GGA calculation of crystalline RbZrTlSe3 at its relaxed geometry, from OQMD via LeMat-Bulk.

```
12
Lattice="-7.9870 -3.1029 -0.0515 7.7499 1.1869 3.4575 -3.8854 9.9133 5.3060" Properties=species:S:1:pos:R:3 pbc="T T T"
Zr -0.1186 -0.9580 1.7030
Zr -2.0613 3.9987 4.3560
Se 4.0771 5.6587 5.7173
Se -1.0797 1.5231 3.0318
Se -10.1329 7.2714 5.6349
Se -3.0428 6.4742 5.6802
Se -8.1996 2.3386 2.9947
Se 6.0104 0.7259 3.0771
Rb -8.1366 5.0857 4.5444
Rb 4.0140 2.9116 4.1676
Tl -6.8967 -0.0625 1.7347
Tl 2.7741 8.0598 6.9772
```

**DFT total energy**: -4.707 eV/atom
**Volume**: 388.5 Å³ per cell
**Spin magnetization**: 0.002 μB per formula unit
**SG**: No. 63
**Excess energy over the best structure of this formula in the dataset**: 128.1 meV per atom



7.
The following is a PBE-GGA calculation of crystalline CuSnMoPd at its relaxed geometry, from OQMD via LeMat-Bulk.

```
4
Lattice="0.0000 3.2107 3.2107 3.2107 0.0000 3.2107 3.2107 3.2107 0.0000" Properties=species:S:1:pos:R:3 pbc="T T T"
Pd 3.2107 3.2107 3.2107
Sn 0.0000 0.0000 0.0000
Mo 1.6054 1.6054 1.6054
Cu 4.8161 4.8161 4.8161
```

**DFT total energy**: -5.760 eV/atom
**Volume**: 66.2 Å³ per cell
**Spin magnetization**: 1.748 μB per formula unit
**SG**: No. 216
**Excess energy over the best structure of this formula in the dataset**: 0.0 meV per atom



8.
The following is a PBE-GGA calculation of crystalline ScFeNiBi at its relaxed geometry, from OQMD via LeMat-Bulk.

```
4
Lattice="0.0000 3.2515 3.2515 3.2515 0.0000 3.2515 3.2515 3.2515 0.0000" Properties=species:S:1:pos:R:3 pbc="T T T"
Sc 3.2515 3.2515 3.2515
Ni 4.8773 4.8773 4.8773
Bi 1.6258 1.6258 1.6258
Fe 0.0000 0.0000 0.0000
```

**DFT total energy**: -5.979 eV/atom
**Volume**: 68.8 Å³ per cell
**Spin magnetization**: 2.558 μB per formula unit
**SG**: No. 216
**Excess energy over the best structure of this formula in the dataset**: 159.3 meV per atom